VASP calculation (PBE) on PuAg2Ge after structural relaxation.

Cell lengths 2.926, 2.926, 11.152 Å; angles 82.46, 82.46, 60.00 degrees
Element x y z (fractional)
Ge: 0.500 0.500 0.500
Ag: 0.092 0.092 0.724
Ag: 0.908 0.908 0.276
Pu: 0.000 0.000 0.000

Computed properties:
DOS at the Fermi energy = 1.501 states/eV/atom
crystal system = trigonal
calculated formation energy = 298 meV per atom
mass density = 10.82 g cm⁻³